Record 1
Computed, not measured: a relaxed Tm12Ir3C5 crystal at the PBE-GGA level of DFT.

Unit cell a=13.1152 b=13.1152 c=13.1152 alpha=109.47 beta=109.47 gamma=109.47
Positions (direct):
Tm1 0.0285 0.2075 0.1241
Tm2 0.0285 0.3210 0.9044
Tm3 0.0834 0.7075 0.6790
Tm4 0.0834 0.8759 0.4044
Tm5 0.0956 0.6241 0.4166
Tm6 0.0956 0.9715 0.6790
Tm7 0.1241 0.0285 0.2075
Tm8 0.1241 0.5956 0.9166
Tm9 0.1790 0.2075 0.5834
Tm10 0.1790 0.4715 0.5956
Tm11 0.2075 0.1241 0.0285
Tm12 0.2075 0.5834 0.1790
Tm13 0.2925 0.3210 0.9166
Tm14 0.2925 0.4715 0.3759
Tm15 0.3210 0.9044 0.0285
Tm16 0.3210 0.9166 0.2925
Tm17 0.3759 0.2925 0.4715
Tm18 0.3759 0.5834 0.9044
Tm19 0.4044 0.0834 0.8759
Tm20 0.4044 0.8210 0.5285
Tm21 0.4166 0.0956 0.6241
Tm22 0.4166 0.8210 0.7925
Tm23 0.4715 0.3759 0.2925
Tm24 0.4715 0.5956 0.1790
Tm25 0.5285 0.4044 0.8210
Tm26 0.5285 0.6241 0.7075
Tm27 0.5834 0.1790 0.2075
Tm28 0.5834 0.9044 0.3759
Tm29 0.5956 0.1790 0.4715
Tm30 0.5956 0.9166 0.1241
Tm31 0.6241 0.4166 0.0956
Tm32 0.6241 0.7075 0.5285
Tm33 0.6790 0.0834 0.7075
Tm34 0.6790 0.0956 0.9715
Tm35 0.7075 0.5285 0.6241
Tm36 0.7075 0.6790 0.0834
Tm37 0.7925 0.4166 0.8210
Tm38 0.7925 0.8759 0.9715
Tm39 0.8210 0.5285 0.4044
Tm40 0.8210 0.7925 0.4166
Tm41 0.8759 0.4044 0.0834
Tm42 0.8759 0.9715 0.7925
Tm43 0.9044 0.0285 0.3210
Tm44 0.9044 0.3759 0.5834
Tm45 0.9166 0.1241 0.5956
Tm46 0.9166 0.2925 0.3210
Tm47 0.9715 0.6790 0.0956
Tm48 0.9715 0.7925 0.8759
Ir1 0.1250 0.2500 0.3750
Ir2 0.1250 0.3750 0.7500
Ir3 0.2500 0.3750 0.1250
Ir4 0.2500 0.8750 0.6250
Ir5 0.3750 0.1250 0.2500
Ir6 0.3750 0.7500 0.1250
Ir7 0.6250 0.2500 0.8750
Ir8 0.6250 0.8750 0.7500
Ir9 0.7500 0.1250 0.3750
Ir10 0.7500 0.6250 0.8750
Ir11 0.8750 0.6250 0.2500
Ir12 0.8750 0.7500 0.6250
C1 0.0000 0.0000 0.0000
C2 0.0000 0.0000 0.5000
C3 0.0000 0.5000 0.0000
C4 0.0000 0.5000 0.5000
C5 0.1250 0.7500 0.8750
C6 0.1250 0.8750 0.2500
C7 0.2500 0.1250 0.8750
C8 0.2500 0.6250 0.3750
C9 0.3750 0.2500 0.6250
C10 0.3750 0.6250 0.7500
C11 0.5000 0.0000 0.0000
C12 0.5000 0.0000 0.5000
C13 0.5000 0.5000 0.0000
C14 0.5000 0.5000 0.5000
C15 0.6250 0.3750 0.2500
C16 0.6250 0.7500 0.3750
C17 0.7500 0.3750 0.6250
C18 0.7500 0.8750 0.1250
C19 0.8750 0.1250 0.7500
C20 0.8750 0.2500 0.1250

Output
total moment = 0.000 μB per cell
energy of formation = -0.37 eV per atom
density = 10.19 Mg/m³
space-group type = No. 230

Record 2
Computed, not measured: a relaxed Sn2PbCl6 crystal at the PBE-GGA level of DFT.

Unit cell a=9.6433 b=9.6433 c=7.5723 alpha=90.92 beta=90.92 gamma=71.30
Positions (direct):
Sn1 0.1720 0.3150 0.1208
Sn2 0.3150 0.1720 0.6208
Sn3 0.6850 0.8280 0.3792
Sn4 0.8280 0.6850 0.8792
Pb1 0.3995 0.6005 0.7500
Pb2 0.6005 0.3995 0.2500
Cl1 0.1068 0.5438 0.8336
Cl2 0.1265 0.1405 0.8761
Cl3 0.1405 0.1265 0.3761
Cl4 0.3273 0.4863 0.4109
Cl5 0.4562 0.8932 0.6664
Cl6 0.4863 0.3273 0.9109
Cl7 0.5137 0.6727 0.0891
Cl8 0.5438 0.1068 0.3336
Cl9 0.6727 0.5137 0.5891
Cl10 0.8595 0.8735 0.6239
Cl11 0.8735 0.8595 0.1239
Cl12 0.8932 0.4562 0.1664

Output
total moment = 0.000 μB per cell
uncorrected formation energy = -1.033 eV/atom
density = 3.27 Mg/m³
space-group type = No. 15

Record 3
Computed, not measured: a relaxed Mg2TaMnCu crystal at the PBE-GGA level of DFT.

Unit cell a=4.8465 b=4.8465 c=4.3545 alpha=90.00 beta=90.00 gamma=90.00
Positions (direct):
Mg1 0.0000 0.5000 0.0000
Mg2 0.5000 0.0000 0.0000
Ta1 0.0000 0.0000 0.5000
Mn1 0.0000 0.0000 0.0000
Cu1 0.5000 0.5000 0.5000

Output
total moment = 0.000 μB per cell
energy of formation = 0.90 eV per atom
density = 5.65 Mg/m³
space-group type = No. 123